Pm2YHo6Er3 after structural relaxation. Source: Alexandria via LeMat-Bulk, functional PBE.

Values from the calculation:
The crystal system is monoclinic. The formation energy is 0.020 eV/atom.

a = 6.1421 Å, b = 10.6269 Å, c = 11.7463 Å
α = 90.00°, β = 99.99°, γ = 90.00°
Space group C2/m (No. 12)
Inequivalent atoms, fractional coordinates:
Pm 0.0000 0.1667 0.0000 (multiplicity 4)
Y 0.0000 0.5000 0.0000 (multiplicity 2)
Ho 0.2484 0.1667 0.7467 (multiplicity 8)
Ho 0.2482 0.5000 0.7466 (multiplicity 4)
Er 0.0000 0.0000 0.5000 (multiplicity 2)
Er 0.0000 0.3336 0.5000 (multiplicity 4)